PrLuGaAg | GGA-PBE | optimized geometry

Summary:
The formation energy comes out at -414 meV per atom. As for the volume: 97.9 Å³/cell.

Structure (extended XYZ):
```
4
Lattice="5.1742 0.0000 0.0000 2.5871 4.4809 0.0000 2.5871 1.4936 4.2247" Properties=species:S:1:pos:R:3 pbc="T T T"
Pr 5.1742 2.9873 2.1123
Lu 0.0000 0.0000 0.0000
Ga 7.7612 4.4809 3.1685
Ag 2.5871 1.4936 1.0562
```


EuTmAs2 | GGA-PBE | optimized geometry

Summary:
The formation energy comes out at -1291 meV per atom. As for the volume: 103.1 Å³/cell.

Structure (extended XYZ):
```
4
Lattice="-3.0544 -1.7168 2.2514 0.9089 -2.7773 2.9675 -0.1859 3.5784 6.3287" Properties=species:S:1:pos:R:3 pbc="T T T"
Eu -1.1657 -0.4579 5.7738
As -0.5908 -0.3054 2.8177
As -1.7406 -0.6103 8.7298
Tm 0.0000 0.0000 0.0000
```


Tc2B2Rh | GGA-PBE | optimized geometry

Summary:
The formation energy comes out at -257 meV per atom. As for the volume: 108.5 Å³/cell.

Structure (extended XYZ):
```
10
Lattice="-2.2264 5.0846 -0.1445 -4.0765 -1.6891 3.3705 1.9280 0.9236 2.7947" Properties=species:S:1:pos:R:3 pbc="T T T"
B -4.4702 0.4656 2.9300
B -4.4758 3.4668 1.9420
B -1.8327 2.9299 0.2960
B -1.8270 -0.0713 1.2840
Rh 0.0000 0.0000 0.0000
Rh -3.1514 1.6978 1.6130
Tc -2.1629 0.2037 3.6398
Tc -3.9061 2.4850 4.0885
Tc -2.2120 4.1154 2.3809
Tc -0.4687 1.8342 1.9322
```


Li2TeAu | GGA-PBE | optimized geometry

Summary:
As for the total energy: -12.3 eV for the cell shown. As for the volume: 80.3 Å³/cell.

Structure (extended XYZ):
```
4
Lattice="6.0678 0.2623 -0.1078 5.1872 3.1591 -0.1078 0.0793 0.0241 4.5102" Properties=species:S:1:pos:R:3 pbc="T T T"
Au 3.0130 0.9159 0.5058
Li 0.5694 0.1731 0.5532
Li 8.1600 2.4806 2.6637
Te 5.2590 1.5987 2.7192
```


La6ZnCo3 | GGA-PBE | optimized geometry

Summary:
The formation energy comes out at -108 meV per atom. As for the volume: 554.8 Å³/cell.

Structure (extended XYZ):
```
20
Lattice="-1.2428 -1.4260 3.3805 -7.4544 -5.6690 -5.1320 11.8748 -7.7359 1.1024" Properties=species:S:1:pos:R:3 pbc="T T T"
La 2.4701 -8.8151 0.5188
La 0.7075 -6.0157 -1.1678
La -5.9741 -6.3352 -1.5396
La 9.1517 -8.4957 0.8905
La -3.1059 -4.4569 0.3073
La 6.2834 -10.3740 -0.9563
La -2.6488 -7.7662 -0.9207
La 5.8264 -7.0647 0.2716
La 2.9722 -5.2193 2.2203
La 0.2054 -9.6116 -2.8693
La 2.7077 -12.3162 -0.8707
La 0.4698 -2.5147 0.2217
Zn 7.2398 -7.0683 3.0092
Zn -4.0622 -7.7625 -3.6583
Co 6.5646 -9.6148 1.6868
Co -3.3871 -5.2161 -2.3359
Co -0.1298 -8.5732 -0.3350
Co 3.3074 -6.2577 -0.3140
Co -1.1965 -1.6650 2.1870
Co 4.3741 -13.1659 -2.8360
```


DyIn3Pd2 | GGA-PBE | optimized geometry

Summary:
The formation energy comes out at -569 meV per atom. As for the volume: 263.8 Å³/cell.

Structure (extended XYZ):
```
12
Lattice="-3.5162 -1.5877 -1.3110 -0.4311 -7.6523 4.0917 -4.8832 -0.3408 7.1777" Properties=species:S:1:pos:R:3 pbc="T T T"
Dy -3.7429 -2.3956 0.2754
Dy -5.0876 -7.1852 9.6830
In -5.6354 -4.4022 7.7816
In -3.3401 -2.8747 6.1079
In -5.0147 -2.1903 3.4380
In -3.8158 -7.3905 6.5205
In -5.4904 -6.7060 3.8506
In -3.1951 -5.1786 2.1768
Pd -5.9773 -2.2251 6.0620
Pd -2.8532 -7.3556 3.8965
Pd -6.5509 -6.9296 6.9660
Pd -2.2796 -2.6511 2.9925
```


Cu2NiS4 | GGA-PBE | optimized geometry

Summary:
As for the total energy: -63.2 eV for the cell shown. As for the volume: 227.9 Å³/cell.

Structure (extended XYZ):
```
14
Lattice="-5.0358 -3.2390 -3.2960 -3.0073 -5.4817 2.8951 -6.4358 0.3112 2.4408" Properties=species:S:1:pos:R:3 pbc="T T T"
Cu -5.0662 -0.9124 1.5506
Cu -2.5179 -1.6195 -1.6480
Cu -7.2394 -4.2047 1.0199
Cu -9.4127 -7.4970 0.4893
Ni -1.5036 -2.7408 1.4476
Ni -4.0215 -4.3603 -0.2004
S -3.5299 -2.2267 0.4950
S -8.4054 -4.5520 3.1425
S -7.0011 -2.0346 1.8442
S -9.3611 -3.5525 0.2995
S -5.1178 -4.8569 1.7403
S -6.0735 -3.8575 -1.1027
S -7.4778 -6.3749 0.1957
S -10.9489 -6.1827 1.5449
```


Sc3OsC2 | GGA-PBE | optimized geometry

Summary:
The formation energy comes out at -378 meV per atom. As for the volume: 182.3 Å³/cell.

Structure (extended XYZ):
```
12
Lattice="-3.3013 2.4708 4.7076 -2.9606 -2.8361 -4.7282 3.4175 -4.8422 2.0097" Properties=species:S:1:pos:R:3 pbc="T T T"
Sc 0.3451 -5.8080 -1.8994
Sc -3.1895 0.6005 3.8884
Sc -1.5173 -1.0057 1.5603
Sc -1.3469 -3.6592 -3.1576
Sc 1.8038 -4.0191 0.4390
Sc -1.3271 -4.2018 0.4287
Os 0.1815 -3.2917 3.2069
Os -3.0258 -1.9159 -1.2179
C 0.1485 -2.6194 1.3026
C -1.4803 -1.4181 -2.3641
C -1.6506 1.2354 2.3538
C -2.9929 -2.5881 0.6864
```